Ni2Cl: optimized geometry, GGA-PBE.

Cell: 4.9733 4.9733 4.9733 Å, 60.00 60.00 60.00°
With the nearest neighbours (Å) after each atom.
Fractional positions:
1 Ni 0.1250 0.6250 0.1250  6 Ni 2.49
2 Ni 0.1250 0.1250 0.1250  6 Ni 2.49
3 Ni 0.6250 0.1250 0.1250  6 Ni 2.49
4 Ni 0.1250 0.1250 0.6250  6 Ni 2.49
5 Cl 0.7500 0.7500 0.7500  12 Ni 2.92, 4 Cl 3.05
6 Cl 0.5000 0.5000 0.5000  12 Ni 2.92, 4 Cl 3.05

* SG: No. 227
* raw formation energy: 0.696 eV per atom
* M_tot: 1.750 μB per formula unit
* VASP energy: -3.774 eV per atom
* energy above the lowest structure with this stoichiometry: 776 meV/atom